(1)
LaRe4B4: optimized geometry, PBE.

Geometry as extended XYZ:
```
18
Lattice="-0.899 3.066 4.402 -5.266 0.344 -1.315 -1.448 -6.364 4.136" Properties=species:S:1:pos:R:3 pbc="T T T"
La 0.000 0.000 0.000
La -3.806 -1.477 3.612
Re -4.108 -4.540 4.018
Re -4.553 -3.020 6.200
Re -4.485 -2.044 0.508
Re -1.829 -2.218 1.171
Re -1.147 -3.301 3.730
Re -1.600 -1.755 5.950
Re -4.588 0.911 1.789
Re -1.977 0.740 2.441
B -3.589 1.797 3.596
B -2.995 -0.229 0.688
B -2.673 -3.989 2.232
B -4.460 -3.872 1.786
B -1.116 -0.208 4.418
B -0.811 -1.249 2.924
B -2.581 -3.852 5.516
B -6.060 -3.625 4.647
```

Space-group type: No. 137
Relative energy among the computed polymorphs, meV/atom: 179
M_tot, μB/f.u.: 0.000
Formation enthalpy at 0 K, eV per atom: -0.15
Calculated density, g/cm3: 13.47
Crystal system: tetragonal



(2)
LaReB2Ru: optimized geometry, PBE.

Geometry as extended XYZ:
```
5
Lattice="-1.787 -3.152 -2.495 2.389 -3.244 2.388 -3.336 -0.362 2.846" Properties=species:S:1:pos:R:3 pbc="T T T"
Re -1.367 -3.379 1.369
B -1.668 -0.181 1.423
B -0.893 -1.576 -1.248
Ru 1.194 -1.622 1.194
La 0.000 0.000 0.000
```

Space-group type: No. 123
M_tot, μB/f.u.: 0.027
Formation enthalpy at 0 K, eV per atom: 2.91
Calculated density, g/cm3: 8.20
Crystal system: tetragonal



(3)
LaRe2Si2B: optimized geometry, PBE.

Geometry as extended XYZ:
```
6
Lattice="-0.442 4.203 0.504 -3.199 0.000 -2.807 -3.518 -0.851 4.009" Properties=species:S:1:pos:R:3 pbc="T T T"
La -1.759 -0.426 2.005
Re -0.221 2.101 0.252
Re -1.600 0.000 -1.403
Si -4.403 1.477 1.792
Si -2.756 1.875 -0.085
B 0.000 0.000 0.000
```

Space-group type: No. 123
M_tot, μB/f.u.: 0.000
Formation energy without anion corrections, eV per atom: -0.53
Calculated density, g/cm3: 9.82
Crystal system: tetragonal



What did the third record say?
LaRe2Si2B: optimized geometry, PBE.

Geometry as extended XYZ:
```
6
Lattice="-0.442 4.203 0.504 -3.199 0.000 -2.807 -3.518 -0.851 4.009" Properties=species:S:1:pos:R:3 pbc="T T T"
La -1.759 -0.426 2.005
Re -0.221 2.101 0.252
Re -1.600 0.000 -1.403
Si -4.403 1.477 1.792
Si -2.756 1.875 -0.085
B 0.000 0.000 0.000
```

Space-group type: No. 123
M_tot, μB/f.u.: 0.000
Formation energy without anion corrections, eV per atom: -0.53
Calculated density, g/cm3: 9.82
Crystal system: tetragonal



What did the second record say?
LaReB2Ru: optimized geometry, PBE.

Geometry as extended XYZ:
```
5
Lattice="-1.787 -3.152 -2.495 2.389 -3.244 2.388 -3.336 -0.362 2.846" Properties=species:S:1:pos:R:3 pbc="T T T"
Re -1.367 -3.379 1.369
B -1.668 -0.181 1.423
B -0.893 -1.576 -1.248
Ru 1.194 -1.622 1.194
La 0.000 0.000 0.000
```

Space-group type: No. 123
M_tot, μB/f.u.: 0.027
Formation enthalpy at 0 K, eV per atom: 2.91
Calculated density, g/cm3: 8.20
Crystal system: tetragonal



- What is the formula in the second record?
  LaReB2Ru



- Among the records above, which one has the highest M_tot?
  LaReB2Ru